# K3Tl2InCl6

Crystalline K3Tl2InCl6 at its relaxed geometry (PBE, the Alexandria database).

Computed properties:
Uncorrected formation energy   -1450 meV/atom
Magnetization   0.00 μB per formula unit

abc: 4.5484 9.1091 10.1883
angles: 103.15 102.90 90.00
Fractional positions:
K  0.5000  0.5000  0.0000
K  0.8334  0.1679  0.6667
K  0.1666  0.8321  0.3333
Tl  0.8335  0.6687  0.6671
Tl  0.1665  0.3313  0.3329
In  0.5000  0.0000  0.0000
Cl  0.3320  0.9236  0.6640
Cl  0.6645  0.5866  0.3290
Cl  0.6680  0.0764  0.3360
Cl  0.9981  0.2529  0.9961
Cl  0.0019  0.7471  0.0039
Cl  0.3355  0.4134  0.6710



# Ac6Hg5Os

Crystalline Ac6Hg5Os at its relaxed geometry (PBE, the Alexandria database).

Computed properties:
Formation energy from the elements   -0.35 eV per atom
Magnetization   0.00 μB per formula unit

abc: 7.6983 10.2532 7.7440
angles: 113.36 98.18 122.29
Fractional positions:
Ac  0.1622  0.3670  0.3190
Ac  0.1578  0.9520  0.3191
Ac  0.4608  0.1909  0.9996
Ac  0.5392  0.8091  0.0004
Ac  0.8422  0.0480  0.6809
Ac  0.8378  0.6330  0.6810
Os  0.0000  0.0000  0.0000
Hg  0.2773  0.7772  0.5556
Hg  0.6265  0.6263  0.2519
Hg  0.0000  0.5000  0.0000
Hg  0.3735  0.3737  0.7481
Hg  0.7227  0.2228  0.4444



# Nd12Y6Mg

Crystalline Nd12Y6Mg at its relaxed geometry (PBE, the Alexandria database).

Computed properties:
Formation energy from the elements   0.12 eV per atom
Magnetization   0.00 μB per formula unit
ΔE to the lowest computed polymorph   0.0 meV per atom

abc: 8.8012 8.8012 8.8012
angles: 97.88 97.88 97.88
Fractional positions:
Nd  0.5836  0.1688  0.5834
Nd  0.1688  0.5834  0.5836
Nd  0.5834  0.5836  0.1688
Nd  0.4164  0.8312  0.4166
Nd  0.8312  0.4166  0.4164
Nd  0.4166  0.4164  0.8312
Nd  0.2602  0.0004  0.7397
Nd  0.2603  0.7398  0.9996
Nd  0.9996  0.2603  0.7398
Nd  0.7398  0.9996  0.2603
Nd  0.7397  0.2602  0.0004
Nd  0.0004  0.7397  0.2602
Y  0.1384  0.1391  0.4079
Y  0.8609  0.5921  0.8616
Y  0.5921  0.8616  0.8609
Y  0.8616  0.8609  0.5921
Y  0.1391  0.4079  0.1384
Y  0.4079  0.1384  0.1391
Mg  0.0000  0.0000  0.0000



Respective electronic total energy values: -3.270 -3.463 -5.016 eV per atom.